Record 1
NaMg2CuF | PBE-GGA | optimized geometry

abc: 4.269 4.269 5.374
angles: 90.00 90.00 90.00
Atoms (fractional coordinates):
Na 0.000 0.000 0.000
Mg 0.000 0.500 0.500
Mg 0.500 0.000 0.500
Cu 0.500 0.500 0.000
F 0.500 0.500 0.500

Final energy = -2.60 eV per atom

---

Record 2
Na2MgCuF6 | PBE-GGA | optimized geometry

abc: 5.441 5.619 9.471
angles: 90.00 125.07 90.00
Atoms (fractional coordinates):
Na 0.236 0.054 0.250
Na 0.236 0.446 0.750
Na 0.764 0.554 0.250
Na 0.764 0.946 0.750
Mg 0.500 0.000 0.000
Mg 0.500 0.500 0.500
Cu 0.000 0.000 0.500
Cu 0.000 0.500 0.000
F 0.151 0.199 0.949
F 0.151 0.301 0.449
F 0.252 0.706 0.947
F 0.252 0.794 0.447
F 0.351 0.035 0.751
F 0.351 0.465 0.251
F 0.649 0.535 0.749
F 0.649 0.965 0.249
F 0.748 0.206 0.553
F 0.748 0.294 0.053
F 0.849 0.699 0.551
F 0.849 0.801 0.051

Final energy = -4.57 eV per atom

---

Record 3
NaMgCu2F8 | PBE-GGA | optimized geometry

abc: 6.412 6.412 6.412
angles: 130.97 130.97 71.87
Atoms (fractional coordinates):
Na 0.000 0.000 0.000
Mg 0.750 0.250 0.500
Cu 0.250 0.750 0.500
Cu 0.500 0.500 0.000
F 0.030 0.019 0.608
F 0.165 0.349 0.568
F 0.403 0.835 0.183
F 0.411 0.422 0.392
F 0.578 0.970 0.989
F 0.651 0.219 0.817
F 0.781 0.597 0.432
F 0.981 0.589 0.011

Final energy = -4.26 eV per atom